A plane-wave DFT calculation with PBE was carried out for a relaxed structure of AsH3Os.

Geometry as CIF:
```
data_AsH3Os
_chemical_formula_sum 'As1 H3 Os1'
_cell_length_a 3.544
_cell_length_b 3.544
_cell_length_c 3.544
_cell_angle_alpha 90.00
_cell_angle_beta 90.00
_cell_angle_gamma 90.00
_space_group_name_H-M_alt 'P m -3 m'
_space_group_IT_number 221
_space_group_name_Hall '-P 4 2 3'
loop_
_atom_site_label
_atom_site_type_symbol
_atom_site_fract_x
_atom_site_fract_y
_atom_site_fract_z
_atom_site_occupancy
As1 As 0.000 0.000 0.000 1
H1 H 0.000 0.500 0.500 1
Os1 Os 0.500 0.500 0.500 1
```

## Properties
E above lowest polymorph   0.000 eV/atom